Entry 1:
VASP calculation (PBE-GGA) on BeTc3Ir after structural relaxation.

abc: 4.090 4.090 4.090
angles: 90.00 90.00 90.00
Fractional coordinates of all 5 atoms:
Be 0.000 0.000 0.000
Tc 0.000 0.000 0.500
Tc 0.000 0.500 0.000
Tc 0.500 0.000 0.000
Ir 0.500 0.500 0.500

- total moment (μB/f.u.) = 0.000
- energy above the lowest structure with this stoichiometry (meV per atom) = 0
- E (eV per formula unit) = -41.23

Entry 2:
VASP calculation (PBE-GGA) on TiBeTcIr2 after structural relaxation.

abc: 4.059 4.059 4.271
angles: 90.00 90.00 90.00
Fractional coordinates of all 5 atoms:
Ti 0.000 0.000 0.000
Be 0.000 0.000 0.500
Tc 0.500 0.500 0.000
Ir 0.000 0.500 0.500
Ir 0.500 0.000 0.500

- total moment (μB/f.u.) = 0.661
- E (eV per formula unit) = -39.19

Entry 3:
VASP calculation (PBE-GGA) on TiBe2TcIr after structural relaxation.

abc: 4.297 4.297 4.422
angles: 90.00 90.00 90.00
Fractional coordinates of all 5 atoms:
Ti 0.000 0.000 0.000
Be 0.000 0.500 0.000
Be 0.500 0.000 0.000
Tc 0.500 0.500 0.500
Ir 0.000 0.000 0.500

- total moment (μB/f.u.) = 3.084
- E (eV per formula unit) = -27.19

Entry 4:
VASP calculation (PBE-GGA) on TiBeTcIr after structural relaxation.

abc: 4.221 4.221 4.221
angles: 60.00 60.00 60.00
Fractional coordinates of all 4 atoms:
Ti 0.000 0.000 0.000
Be 0.500 0.500 0.500
Tc 0.750 0.750 0.750
Ir 0.250 0.250 0.250

- total moment (μB/f.u.) = 0.000
- E (eV per formula unit) = -32.57

Entry 5:
VASP calculation (PBE-GGA) on BeVTcIr after structural relaxation.

abc: 4.156 4.156 4.156
angles: 60.00 60.00 60.00
Fractional coordinates of all 4 atoms:
Be 0.000 0.000 0.000
V 0.500 0.500 0.500
Tc 0.750 0.750 0.750
Ir 0.250 0.250 0.250

- total moment (μB/f.u.) = 0.000
- E (eV per formula unit) = -33.69

Entry 6:
VASP calculation (PBE-GGA) on BeTcIrW after structural relaxation.

abc: 4.275 4.275 4.275
angles: 60.00 60.00 60.00
Fractional coordinates of all 4 atoms:
Be 0.000 0.000 0.000
Tc 0.250 0.250 0.250
Ir 0.750 0.750 0.750
W 0.500 0.500 0.500

- total moment (μB/f.u.) = 0.000
- E (eV per formula unit) = -36.73

Entry 7:
VASP calculation (PBE-GGA) on Y2BeTcIr after structural relaxation.

abc: 5.146 5.146 4.109
angles: 90.00 90.00 90.00
Fractional coordinates of all 5 atoms:
Y 0.000 0.500 0.000
Y 0.500 0.000 0.000
Be 0.000 0.000 0.500
Tc 0.000 0.000 0.000
Ir 0.500 0.500 0.500

- total moment (μB/f.u.) = 0.000
- E (eV per formula unit) = -33.15

Entry 8:
VASP calculation (PBE-GGA) on ZrBeTc2Ir after structural relaxation.

abc: 4.773 4.773 4.861
angles: 90.00 90.00 90.00
Fractional coordinates of all 5 atoms:
Zr 0.000 0.000 0.000
Be 0.500 0.500 0.500
Tc 0.000 0.500 0.000
Tc 0.500 0.000 0.000
Ir 0.000 0.000 0.500

- total moment (μB/f.u.) = 3.270
- E (eV per formula unit) = -31.26

Entry 9:
VASP calculation (PBE-GGA) on BeTeIr2 after structural relaxation.

abc: 3.010 3.010 6.621
angles: 90.00 90.00 90.00
Fractional coordinates of all 4 atoms:
Be 0.000 0.000 0.000
Te 0.000 0.000 0.500
Ir 0.500 0.500 0.205
Ir 0.500 0.500 0.795

- uncorrected formation energy (eV/atom) = 0.12
- total moment (μB/f.u.) = 0.000
- energy above the lowest structure with this stoichiometry (meV per atom) = 141
- E (eV per formula unit) = -24.10

Entry 10:
VASP calculation (PBE-GGA) on BeTeIr2 after structural relaxation.

abc: 4.416 4.416 4.416
angles: 60.00 60.00 60.00
Fractional coordinates of all 4 atoms:
Be 0.000 0.000 0.000
Te 0.500 0.500 0.500
Ir 0.250 0.250 0.250
Ir 0.750 0.750 0.750

- uncorrected formation energy (eV/atom) = 0.31
- total moment (μB/f.u.) = 0.081
- energy above the lowest structure with this stoichiometry (meV per atom) = 331
- E (eV per formula unit) = -23.34

Entry 11:
VASP calculation (PBE-GGA) on BeTeIr after structural relaxation.

abc: 4.512 4.512 4.512
angles: 132.04 132.04 70.17
Fractional coordinates of all 3 atoms:
Be 0.000 0.000 0.000
Te 0.322 0.322 0.000
Ir 0.689 0.689 0.000

- uncorrected formation energy (eV/atom) = 0.33
- total moment (μB/f.u.) = 0.000
- energy above the lowest structure with this stoichiometry (meV per atom) = 330
- E (eV per formula unit) = -14.73

Entry 12:
VASP calculation (PBE-GGA) on BeTeIr2 after structural relaxation.

abc: 8.005 8.005 8.005
angles: 21.67 21.67 21.67
Fractional coordinates of all 4 atoms:
Be 0.000 0.000 0.000
Te 0.500 0.500 0.500
Ir 0.264 0.264 0.264
Ir 0.736 0.736 0.736

- uncorrected formation energy (eV/atom) = 0.27
- total moment (μB/f.u.) = 0.000
- energy above the lowest structure with this stoichiometry (meV per atom) = 291
- E (eV per formula unit) = -23.50

Entry 13:
VASP calculation (PBE-GGA) on BeTeIr2 after structural relaxation.

abc: 2.959 2.959 8.118
angles: 90.00 90.00 90.00
Fractional coordinates of all 4 atoms:
Be 0.000 0.000 0.000
Te 0.500 0.500 0.584
Ir 0.000 0.000 0.359
Ir 0.500 0.500 0.117

- uncorrected formation energy (eV/atom) = 0.25
- total moment (μB/f.u.) = 0.000
- energy above the lowest structure with this stoichiometry (meV per atom) = 268
- E (eV per formula unit) = -23.59

Entry 14:
VASP calculation (PBE-GGA) on BeTeIr2 after structural relaxation.

abc: 3.847 3.847 5.398
angles: 110.97 110.97 60.14
Fractional coordinates of all 4 atoms:
Be 0.000 0.000 0.000
Te 0.174 0.174 0.527
Ir 0.403 0.403 0.211
Ir 0.615 0.615 0.848

- uncorrected formation energy (eV/atom) = -0.02
- total moment (μB/f.u.) = 0.000
- energy above the lowest structure with this stoichiometry (meV per atom) = 0
- E (eV per formula unit) = -24.66

Entry 15:
VASP calculation (PBE-GGA) on BeTeIr2 after structural relaxation.

abc: 4.466 4.466 4.466
angles: 60.00 60.00 60.00
Fractional coordinates of all 4 atoms:
Be 0.000 0.000 0.000
Te 0.750 0.750 0.750
Ir 0.250 0.250 0.250
Ir 0.500 0.500 0.500

- uncorrected formation energy (eV/atom) = 0.59
- total moment (μB/f.u.) = 0.000
- energy above the lowest structure with this stoichiometry (meV per atom) = 608
- E (eV per formula unit) = -22.23

Entry 16:
VASP calculation (PBE-GGA) on Be2TeIr2 after structural relaxation.

abc: 6.899 6.899 2.901
angles: 90.00 90.00 90.00
Fractional coordinates of all 10 atoms:
Be 0.116 0.384 0.000
Be 0.384 0.884 0.000
Be 0.616 0.116 0.000
Be 0.884 0.616 0.000
Te 0.000 0.000 0.000
Te 0.500 0.500 0.000
Ir 0.165 0.665 0.500
Ir 0.335 0.165 0.500
Ir 0.665 0.835 0.500
Ir 0.835 0.335 0.500

- uncorrected formation energy (eV/atom) = 0.05
- total moment (μB/f.u.) = 0.000
- E (eV per formula unit) = -28.08

Entry 17:
VASP calculation (PBE-GGA) on BeTeIr2 after structural relaxation.

abc: 6.618 6.618 6.618
angles: 153.98 149.09 40.83
Fractional coordinates of all 4 atoms:
Be 0.000 0.000 0.000
Te 0.743 0.243 0.500
Ir 0.370 0.870 0.500
Ir 0.554 0.554 0.000

- uncorrected formation energy (eV/atom) = 0.11
- total moment (μB/f.u.) = 0.000
- energy above the lowest structure with this stoichiometry (meV per atom) = 129
- E (eV per formula unit) = -24.14

Entry 18:
VASP calculation (PBE-GGA) on BeTeIr2 after structural relaxation.

abc: 5.021 5.021 5.021
angles: 135.64 135.64 64.54
Fractional coordinates of all 4 atoms:
Be 0.000 0.000 0.000
Te 0.750 0.250 0.500
Ir 0.250 0.750 0.500
Ir 0.500 0.500 0.000

- uncorrected formation energy (eV/atom) = 0.36
- total moment (μB/f.u.) = 0.000
- energy above the lowest structure with this stoichiometry (meV per atom) = 378
- E (eV per formula unit) = -23.15

Entry 19:
VASP calculation (PBE-GGA) on BeTeIr2 after structural relaxation.

abc: 2.900 2.900 8.259
angles: 90.00 90.00 116.30
Fractional coordinates of all 4 atoms:
Be 0.000 0.000 0.000
Te 0.000 0.000 0.500
Ir 0.500 0.500 0.199
Ir 0.500 0.500 0.801

- uncorrected formation energy (eV/atom) = 0.35
- total moment (μB/f.u.) = 0.000
- energy above the lowest structure with this stoichiometry (meV per atom) = 368
- E (eV per formula unit) = -23.19

Entry 20:
VASP calculation (PBE-GGA) on BeTeIr2 after structural relaxation.

abc: 4.122 4.122 3.579
angles: 90.00 90.00 90.00
Fractional coordinates of all 4 atoms:
Be 0.000 0.000 0.000
Te 0.500 0.500 0.000
Ir 0.000 0.500 0.500
Ir 0.500 0.000 0.500

- uncorrected formation energy (eV/atom) = 0.26
- total moment (μB/f.u.) = 0.000
- energy above the lowest structure with this stoichiometry (meV per atom) = 281
- E (eV per formula unit) = -23.54

Entry 21:
VASP calculation (PBE-GGA) on BeTeIr4 after structural relaxation.

abc: 5.236 5.236 5.236
angles: 60.00 60.00 60.00
Fractional coordinates of all 6 atoms:
Be 0.000 0.000 0.000
Te 0.250 0.250 0.250
Ir 0.124 0.625 0.625
Ir 0.625 0.124 0.625
Ir 0.625 0.625 0.124
Ir 0.625 0.625 0.625

- uncorrected formation energy (eV/atom) = 0.67
- total moment (μB/f.u.) = 0.000
- E (eV per formula unit) = -38.28

Entry 22:
VASP calculation (PBE-GGA) on BeTeIr2 after structural relaxation.

abc: 4.611 4.611 4.611
angles: 126.99 126.99 78.26
Fractional coordinates of all 4 atoms:
Be 0.000 0.000 0.000
Te 0.500 0.500 0.000
Ir 0.250 0.750 0.500
Ir 0.750 0.250 0.500

- uncorrected formation energy (eV/atom) = 0.23
- total moment (μB/f.u.) = 0.000
- energy above the lowest structure with this stoichiometry (meV per atom) = 250
- E (eV per formula unit) = -23.66

Entry 23:
VASP calculation (PBE-GGA) on BeTeIr after structural relaxation.

abc: 5.850 5.850 5.850
angles: 148.90 148.90 44.55
Fractional coordinates of all 3 atoms:
Be 0.000 0.000 0.000
Te 0.288 0.288 0.000
Ir 0.534 0.534 0.000

- uncorrected formation energy (eV/atom) = 0.18
- total moment (μB/f.u.) = 0.000
- energy above the lowest structure with this stoichiometry (meV per atom) = 180
- E (eV per formula unit) = -15.18

Entry 24:
VASP calculation (PBE-GGA) on BeTeIr after structural relaxation.

abc: 3.180 3.180 5.692
angles: 90.00 90.00 120.00
Fractional coordinates of all 3 atoms:
Be 0.000 0.000 0.000
Te 0.333 0.667 0.623
Ir 0.667 0.333 0.255

- uncorrected formation energy (eV/atom) = 0.33
- total moment (μB/f.u.) = 0.000
- energy above the lowest structure with this stoichiometry (meV per atom) = 332
- E (eV per formula unit) = -14.73

Entry 25:
VASP calculation (PBE-GGA) on BeTeIr after structural relaxation.

abc: 4.230 4.230 4.230
angles: 60.00 60.00 60.00
Fractional coordinates of all 3 atoms:
Be 0.000 0.000 0.000
Te 0.500 0.500 0.500
Ir 0.750 0.750 0.750

- uncorrected formation energy (eV/atom) = 0.00
- total moment (μB/f.u.) = 0.000
- energy above the lowest structure with this stoichiometry (meV per atom) = 0
- E (eV per formula unit) = -15.72

Entry 26:
VASP calculation (PBE-GGA) on BeTeIr after structural relaxation.

abc: 3.918 3.918 3.797
angles: 90.00 90.00 120.00
Fractional coordinates of all 3 atoms:
Be 0.000 0.000 0.000
Te 0.667 0.333 0.500
Ir 0.333 0.667 0.000

- uncorrected formation energy (eV/atom) = 0.18
- total moment (μB/f.u.) = 0.000
- energy above the lowest structure with this stoichiometry (meV per atom) = 179
- E (eV per formula unit) = -15.19

Entry 27:
VASP calculation (PBE-GGA) on BeTeIr2 after structural relaxation.

abc: 8.598 8.598 8.598
angles: 152.57 152.57 39.19
Fractional coordinates of all 8 atoms:
Be 0.000 0.000 0.000
Be 0.750 0.250 0.500
Te 0.250 0.750 0.500
Te 0.500 0.500 0.000
Ir 0.089 0.625 0.964
Ir 0.375 0.339 0.464
Ir 0.661 0.125 0.036
Ir 0.875 0.911 0.536

- uncorrected formation energy (eV/atom) = 0.24
- total moment (μB/f.u.) = 0.000
- energy above the lowest structure with this stoichiometry (meV per atom) = 261
- E (eV per formula unit) = -23.62

Entry 28:
VASP calculation (PBE-GGA) on BeTeIr2 after structural relaxation.

abc: 3.285 3.285 5.918
angles: 90.00 90.00 90.00
Fractional coordinates of all 4 atoms:
Be 0.000 0.000 0.000
Te 0.500 0.500 0.617
Ir 0.000 0.000 0.394
Ir 0.500 0.500 0.063

- uncorrected formation energy (eV/atom) = 0.17
- total moment (μB/f.u.) = 0.167
- energy above the lowest structure with this stoichiometry (meV per atom) = 189
- E (eV per formula unit) = -23.91

Entry 29:
VASP calculation (PBE-GGA) on BeTeIr2 after structural relaxation.

abc: 2.910 2.910 8.725
angles: 90.00 90.00 117.63
Fractional coordinates of all 4 atoms:
Be 0.000 0.000 0.000
Te 0.500 0.500 0.709
Ir 0.000 0.000 0.449
Ir 0.500 0.500 0.181

- uncorrected formation energy (eV/atom) = 0.60
- total moment (μB/f.u.) = 0.000
- energy above the lowest structure with this stoichiometry (meV per atom) = 620
- E (eV per formula unit) = -22.18

Entry 30:
VASP calculation (PBE-GGA) on BeTeIr2 after structural relaxation.

abc: 4.487 4.487 5.008
angles: 103.47 103.47 38.72
Fractional coordinates of all 4 atoms:
Be 0.000 0.000 0.000
Te 0.500 0.500 0.500
Ir 0.269 0.269 0.776
Ir 0.731 0.731 0.224

- uncorrected formation energy (eV/atom) = 0.19
- total moment (μB/f.u.) = 0.000
- energy above the lowest structure with this stoichiometry (meV per atom) = 205
- E (eV per formula unit) = -23.84